1.
This record from Alexandria describes a relaxed KDySnS3 crystal. The functional is PBE.

```
KDySnS3
1.0
-3.0215 -1.0081 2.3823
6.7503 -4.1577 3.4816
2.1406 8.9039 6.4828
S K Dy Sn
6 2 2 2
Direct
0.9842 0.9683 0.7500
0.0158 0.0317 0.2500
0.6097 0.2195 0.0021
0.3903 0.7805 0.9979
0.3903 0.7805 0.5021
0.6097 0.2195 0.4979
0.3251 0.6502 0.2500
0.6749 0.3498 0.7500
0.0000 0.0000 0.0000
0.0000 0.0000 0.5000
0.6208 0.2417 0.2500
0.3792 0.7583 0.7500
```

Output
**Volume**: 376.10 Å³/cell
**ρ**: 3.68 Mg/m³
**Space group**: No. 63
**Spin magnetization**: 0.00 μB/f.u.
**Total energy**: -4.95 eV per atom

=====

2.
This record from Alexandria describes a relaxed K4Dy3SnS8 crystal. The functional is PBE.

```
K4Dy3SnS8
1.0
-4.9983 0.6134 6.3587
-6.8616 -0.9652 -5.3005
5.7081 -5.7618 -0.1307
K S Dy Sn
4 8 3 1
Direct
0.0000 0.0000 0.5000
0.5000 0.0000 0.5000
0.5000 0.0000 0.0000
0.0000 0.0000 0.0000
0.2336 0.7005 0.9670
0.2337 0.7005 0.4673
0.2667 0.2995 0.0330
0.7664 0.2995 0.0330
0.7341 0.7023 0.4682
0.7663 0.2995 0.5327
0.7333 0.7005 0.9670
0.2659 0.2977 0.5318
0.0000 0.5000 0.5000
0.5000 0.5000 0.0000
0.5000 0.5000 0.5000
0.0000 0.5000 0.0000
```

Output
**Volume**: 419.33 Å³/cell
**ρ**: 4.04 Mg/m³
**Space group**: No. 166
**Spin magnetization**: 0.00 μB/f.u.
**Total energy**: -5.05 eV per atom

=====

3.
This record from Alexandria describes a relaxed K3SrDy2S6 crystal. The functional is PBE.

```
K3SrDy2S6
1.0
7.1901 -0.0013 -0.0029
-3.5944 6.2271 -0.0029
-1.2022 -2.0816 7.3889
K S Sr Dy
3 6 1 2
Direct
0.1626 0.8374 0.5000
0.5000 0.5000 0.5000
0.8374 0.1626 0.5000
0.2866 0.2866 0.7946
0.4246 0.0689 0.2057
0.0689 0.4246 0.2057
0.9311 0.5754 0.7943
0.5754 0.9311 0.7943
0.7134 0.7134 0.2054
0.0000 0.0000 0.0000
0.3331 0.6669 0.0000
0.6669 0.3331 0.0000
```

Output
**Volume**: 330.71 Å³/cell
**ρ**: 3.63 Mg/m³
**Space group**: No. 12
**Spin magnetization**: 0.00 μB/f.u.
**Total energy**: -4.94 eV per atom

=====

4.
This record from Alexandria describes a relaxed K3Dy3TaS8 crystal. The functional is PBE.

```
K3Dy3TaS8
1.0
-0.1869 -1.4276 -7.7057
-2.7712 -5.3255 5.0418
-4.9122 7.1809 -1.2113
S Dy K Ta
8 3 3 1
Direct
0.2176 0.9730 0.6905
0.7345 0.4690 0.7034
0.2655 0.5310 0.2966
0.7554 0.9730 0.6905
0.7824 0.0270 0.3095
0.2446 0.0270 0.3095
0.7823 0.5646 0.3094
0.2177 0.4354 0.6906
0.5000 0.0000 0.5000
0.5000 0.5000 0.5000
0.0000 0.5000 0.5000
0.0000 0.5000 0.0000
0.5000 0.5000 0.0000
0.0000 0.0000 0.0000
0.0000 0.0000 0.5000
```

Output
**Volume**: 400.63 Å³/cell
**ρ**: 4.32 Mg/m³
**Space group**: No. 166
**Spin magnetization**: 0.97 μB/f.u.
**Total energy**: -5.80 eV per atom

=====

5.
This record from Alexandria describes a relaxed KTbDy4S8 crystal. The functional is PBE.

```
KTbDy4S8
1.0
-2.9461 -0.7224 -7.6328
-1.3776 -7.4453 -3.1827
-7.7206 -2.5915 -1.1938
Dy S Tb K
4 8 1 1
Direct
0.0045 0.0045 0.5045
0.0045 0.4865 0.5045
0.6251 0.6251 0.1246
0.4865 0.0045 0.5045
0.7993 0.2343 0.7321
0.2343 0.7993 0.7321
0.2281 0.7569 0.2580
0.7569 0.7569 0.2580
0.2332 0.2332 0.3004
0.7569 0.2281 0.2580
0.2343 0.2343 0.7321
0.7574 0.7574 0.7278
0.0046 0.0046 0.9863
0.3743 0.3743 0.8770
```

Output
**Volume**: 393.05 Å³/cell
**ρ**: 4.67 Mg/m³
**Space group**: No. 160
**Spin magnetization**: 0.00 μB/f.u.
**Total energy**: -6.02 eV per atom

=====

6.
This record from Alexandria describes a relaxed K2DyTeS4 crystal. The functional is PBE.

```
K2DyTeS4
1.0
8.2521 0.0016 0.2195
-0.0042 8.2521 0.2195
-3.8682 -3.8709 6.1380
Te K S Dy
2 4 8 2
Direct
0.0000 0.0000 0.0000
0.5000 0.5000 0.5000
0.5000 0.0000 0.0000
0.0000 0.0000 0.5000
0.5000 0.0000 0.5000
0.5000 0.5000 0.0000
0.7951 0.7644 0.0115
0.2644 0.2951 0.5115
0.7356 0.7049 0.4885
0.8076 0.2717 0.0574
0.2049 0.2356 0.9885
0.1924 0.7283 0.9426
0.2283 0.6924 0.4426
0.7717 0.3076 0.5574
0.0000 0.5000 0.5000
0.0000 0.5000 0.0000
```

Output
**Volume**: 432.00 Å³/cell
**ρ**: 3.82 Mg/m³
**Space group**: No. 15
**Spin magnetization**: 0.00 μB/f.u.
**Total energy**: -4.42 eV per atom

=====

In eV/atom, the uncorrected formation energy values for the records above are, in order, -1.270, -1.597, -1.690, -1.665, -1.936, -1.119.